Crystalline HgSeBr2 at its relaxed geometry, computed with GGA-PBE.

Summary:
magnetic moment = 0.00 μB/f.u.
ΔE_f (raw) = -0.05 eV/atom
energy = -1.84 eV/atom

The structure in CIF format:
```
data_HgSeBr2
_chemical_formula_sum 'Hg2 Se2 Br4'
_cell_length_a 13.471
_cell_length_b 3.799
_cell_length_c 5.896
_cell_angle_alpha 90.00
_cell_angle_beta 98.11
_cell_angle_gamma 90.00
_symmetry_space_group_name_H-M 'C 1 m 1'
_symmetry_Int_Tables_number 8
loop_
_symmetry_equiv_pos_as_xyz
'x,y,z'
'x,-y,z'
'x+1/2,y+1/2,z'
'x+1/2,-y+1/2,z'
loop_
_atom_site_label
_atom_site_fract_x
_atom_site_fract_y
_atom_site_fract_z
Hg1 0.000 0.000 0.000
Se1 0.408 0.000 0.213
Br1 0.106 0.500 0.815
Br2 0.326 0.500 0.457
```